(1)
# Pr2CdPdO5, relaxed, DFT PBE
# VASP energy = -116.08 eV/cell
# ΔE_f (raw) = -1.953 eV per atom
# Magnetic moment = 0.000 μB/atom
data_Pr2CdPdO5
_cell_length_a 6.8415
_cell_length_b 6.8415
_cell_length_c 5.7825
_cell_angle_alpha 90.00
_cell_angle_beta 90.00
_cell_angle_gamma 90.00
_space_group_name_H-M_alt 'P 4/m b m'
_space_group_IT_number 127
_space_group_name_Hall '-P 4 2ab'
loop_
_atom_site_label
_atom_site_fract_x
_atom_site_fract_y
_atom_site_fract_z
_atom_site_occupancy
Pr1 0.1721 0.3279 0.0000 1
Cd1 0.0000 0.0000 0.5000 1
Pd1 0.0000 0.5000 0.5000 1
O1 0.0000 0.0000 0.0000 1
O2 0.1432 0.6432 0.2522 1

---

(2)
# PmDyRh, relaxed, DFT PBE
# VASP energy = -73.37 eV/cell
# N(E_F) = 13.04 states/eV per cell
# E above lowest polymorph = 0 meV/atom
# Energy of formation from the pure elements = -0.546 eV per atom
# Magnetic moment = 0.000 μB/atom
data_PmDyRh
_cell_length_a 5.8347
_cell_length_b 4.1085
_cell_length_c 13.7538
_cell_angle_alpha 90.00
_cell_angle_beta 90.00
_cell_angle_gamma 90.00
_space_group_name_H-M_alt 'P n m a'
_space_group_IT_number 62
loop_
_space_group_symop_operation_xyz
'x,y,z'
'-x,-y,-z'
'-x+1/2,-y,z+1/2'
'x+1/2,y,-z+1/2'
'x+1/2,-y+1/2,-z+1/2'
'-x+1/2,y+1/2,z+1/2'
'-x,y+1/2,-z'
'x,-y+1/2,z'
loop_
_atom_site_label
_atom_site_fract_x
_atom_site_fract_y
_atom_site_fract_z
_atom_site_occupancy
Pm1 0.1355 0.2500 0.1636 1
Dy1 0.1383 0.7500 0.4114 1
Rh1 0.1683 0.7500 0.0226 1

---

(3)
# Al2HgP, relaxed, DFT PBE
# VASP energy = -52.65 eV/cell
# N(E_F) = 9.87 states/eV per cell
# E above lowest polymorph = 125 meV/atom
# Energy of formation from the pure elements = 0.009 eV per atom
# Magnetic moment = 0.000 μB/atom
data_Al2HgP
_cell_length_a 6.2132
_cell_length_b 6.2132
_cell_length_c 9.8859
_cell_angle_alpha 90.00
_cell_angle_beta 90.00
_cell_angle_gamma 90.00
_space_group_name_H-M_alt 'I -4 2 d'
_space_group_IT_number 122
_space_group_name_Hall 'I -4 2bw'
loop_
_atom_site_label
_atom_site_fract_x
_atom_site_fract_y
_atom_site_fract_z
_atom_site_occupancy
Al1 0.2126 0.2500 0.1250 1
Hg1 0.0000 0.0000 0.5000 1
P1 0.0000 0.0000 0.0000 1

---

(4)
# YCu2Se, relaxed, DFT PBE
# VASP energy = -20.13 eV/cell
# N(E_F) = 1.40 states/eV per cell
# ΔE_f (raw) = -0.496 eV per atom
# Magnetic moment = 0.000 μB/atom
data_YCu2Se
_cell_length_a 3.7062
_cell_length_b 4.3442
_cell_length_c 4.8172
_cell_angle_alpha 90.00
_cell_angle_beta 90.38
_cell_angle_gamma 90.00
_space_group_name_H-M_alt 'P 1 2/m 1'
_space_group_IT_number 10
loop_
_space_group_symop_operation_xyz
'x,y,z'
'-x,-y,-z'
'-x,y,-z'
'x,-y,z'
loop_
_atom_site_label
_atom_site_fract_x
_atom_site_fract_y
_atom_site_fract_z
_atom_site_occupancy
Y1 0.0000 0.0000 0.0000 1
Cu1 0.4948 0.5000 0.7589 1
Se1 0.5000 0.0000 0.5000 1

---

(5)
# YFeSn2P, relaxed, DFT PBE
# VASP energy = -22.97 eV/cell
# N(E_F) = 7.46 states/eV per cell
# Energy of formation from the pure elements = 1.074 eV per atom
# Magnetic moment = 0.766 μB/atom
data_YFeSn2P
_cell_length_a 5.6760
_cell_length_b 5.6760
_cell_length_c 5.0684
_cell_angle_alpha 90.00
_cell_angle_beta 90.00
_cell_angle_gamma 90.00
_space_group_name_H-M_alt 'P 4/m m m'
_space_group_IT_number 123
_space_group_name_Hall '-P 4 2'
loop_
_atom_site_label
_atom_site_fract_x
_atom_site_fract_y
_atom_site_fract_z
_atom_site_occupancy
Y1 0.0000 0.0000 0.0000 1
Fe1 0.5000 0.5000 0.5000 1
Sn1 0.0000 0.5000 0.0000 1
P1 0.0000 0.0000 0.5000 1

---

(6)
# ZrPH, relaxed, DFT PBE
# VASP energy = -78.73 eV/cell
# N(E_F) = 1.63 states/eV per cell
# E above lowest polymorph = 237 meV/atom
# Magnetic moment = 0.000 μB/atom
data_ZrPH
_cell_length_a 3.5108
_cell_length_b 6.5525
_cell_length_c 7.0090
_cell_angle_alpha 90.00
_cell_angle_beta 90.00
_cell_angle_gamma 90.00
_space_group_name_H-M_alt 'I m m m'
_space_group_IT_number 71
_space_group_name_Hall '-I 2 2'
loop_
_atom_site_label
_atom_site_fract_x
_atom_site_fract_y
_atom_site_fract_z
_atom_site_occupancy
Zr1 0.0000 0.0000 0.2320 1
P1 0.0000 0.2900 0.5000 1
H1 0.0000 0.5000 0.1427 1

---

(7)
# LiDyZn2Ag5, relaxed, DFT PBE
# VASP energy = -23.55 eV/cell
# N(E_F) = 4.31 states/eV per cell
# Energy of formation from the pure elements = -0.026 eV per atom
# Magnetic moment = 0.000 μB/atom
data_LiDyZn2Ag5
_cell_length_a 4.7758
_cell_length_b 4.7758
_cell_length_c 7.9932
_cell_angle_alpha 90.00
_cell_angle_beta 90.00
_cell_angle_gamma 90.00
_space_group_name_H-M_alt 'P 4/m m m'
_space_group_IT_number 123
_space_group_name_Hall '-P 4 2'
loop_
_atom_site_label
_atom_site_fract_x
_atom_site_fract_y
_atom_site_fract_z
_atom_site_occupancy
Li1 0.0000 0.0000 0.0000 1
Dy1 0.0000 0.0000 0.5000 1
Zn1 0.5000 0.5000 0.1494 1
Ag1 0.0000 0.5000 0.2666 1
Ag2 0.5000 0.5000 0.5000 1

---

(8)
# SrBP2S8, relaxed, DFT PBE
# VASP energy = -108.87 eV/cell
# N(E_F) = 5.59 states/eV per cell
# ΔE_f (raw) = -0.187 eV per atom
# Magnetic moment = 0.000 μB/atom
data_SrBP2S8
_cell_length_a 13.9289
_cell_length_b 5.7772
_cell_length_c 9.8908
_cell_angle_alpha 90.00
_cell_angle_beta 128.82
_cell_angle_gamma 90.00
_space_group_name_H-M_alt 'C 1 2/m 1'
_space_group_IT_number 12
loop_
_space_group_symop_operation_xyz
'x,y,z'
'-x,-y,-z'
'-x,y,-z'
'x,-y,z'
'x+1/2,y+1/2,z'
'-x+1/2,-y+1/2,-z'
'-x+1/2,y+1/2,-z'
'x+1/2,-y+1/2,z'
loop_
_atom_site_label
_atom_site_fract_x
_atom_site_fract_y
_atom_site_fract_z
_atom_site_occupancy
Sr1 0.0000 0.0000 0.0000 1
B1 0.0000 0.5000 0.5000 1
P1 0.1826 0.0000 0.7112 1
S1 0.1245 0.2797 0.5334 1
S2 0.1312 0.0000 0.8557 1
S3 0.1329 0.5000 0.1604 1

---

(9)
# PaP4Ru4, relaxed, DFT PBE
# VASP energy = -146.31 eV/cell
# N(E_F) = 14.67 states/eV per cell
# Energy of formation from the pure elements = -0.546 eV per atom
# Magnetic moment = 0.042 μB/atom
data_PaP4Ru4
_cell_length_a 6.0078
_cell_length_b 6.0078
_cell_length_c 7.6242
_cell_angle_alpha 90.00
_cell_angle_beta 90.00
_cell_angle_gamma 90.00
_space_group_name_H-M_alt 'P 42/n m c'
_space_group_IT_number 137
loop_
_space_group_symop_operation_xyz
'x,y,z'
'-x,-y,-z'
'-y+1/2,x,z+1/2'
'y+1/2,-x,-z+1/2'
'-x+1/2,-y+1/2,z'
'x+1/2,y+1/2,-z'
'y,-x+1/2,z+1/2'
'-y,x+1/2,-z+1/2'
'x+1/2,-y,-z'
'-x+1/2,y,z'
'-y,-x,-z+1/2'
'y,x,z+1/2'
'-x,y+1/2,-z'
'x,-y+1/2,z'
'y+1/2,x+1/2,-z+1/2'
'-y+1/2,-x+1/2,z+1/2'
loop_
_atom_site_label
_atom_site_fract_x
_atom_site_fract_y
_atom_site_fract_z
_atom_site_occupancy
Pa1 0.2500 0.7500 0.2500 1
P1 0.0302 0.2500 0.0583 1
Ru1 0.0267 0.2500 0.3633 1

---

(10)
# ErTiTc, relaxed, DFT PBE
# VASP energy = -183.56 eV/cell
# N(E_F) = 24.61 states/eV per cell
# E above lowest polymorph = 138 meV/atom
# Energy of formation from the pure elements = -0.040 eV per atom
# Magnetic moment = 0.000 μB/atom
data_ErTiTc
_cell_length_a 5.9784
_cell_length_b 8.3249
_cell_length_c 9.7796
_cell_angle_alpha 90.00
_cell_angle_beta 90.00
_cell_angle_gamma 90.00
_space_group_name_H-M_alt 'F m m m'
_space_group_IT_number 69
_space_group_name_Hall '-F 2 2'
loop_
_atom_site_label
_atom_site_fract_x
_atom_site_fract_y
_atom_site_fract_z
_atom_site_occupancy
Er1 0.0000 0.1843 0.0000 1
Ti1 0.0000 0.0000 0.3168 1
Tc1 0.2500 0.2500 0.2500 1

---

(11)
# CaNd2TmTe4, relaxed, DFT PBE
# VASP energy = -39.83 eV/cell
# N(E_F) = 4.09 states/eV per cell
# ΔE_f (raw) = -1.407 eV per atom
# Magnetic moment = 0.000 μB/atom
data_CaNd2TmTe4
_cell_length_a 7.6263
_cell_length_b 4.3887
_cell_length_c 7.8322
_cell_angle_alpha 90.00
_cell_angle_beta 108.69
_cell_angle_gamma 90.00
_space_group_name_H-M_alt 'P 1 2/m 1'
_space_group_IT_number 10
loop_
_space_group_symop_operation_xyz
'x,y,z'
'-x,-y,-z'
'-x,y,-z'
'x,-y,z'
loop_
_atom_site_label
_atom_site_fract_x
_atom_site_fract_y
_atom_site_fract_z
_atom_site_occupancy
Ca1 0.0000 0.0000 0.0000 1
Nd1 0.0000 0.5000 0.5000 1
Nd2 0.5000 0.0000 0.5000 1
Tm1 0.5000 0.5000 0.0000 1
Te1 0.2508 0.5000 0.2390 1
Te2 0.2582 0.0000 0.7642 1

---

(12)
# Sm4Tm3Tl5, relaxed, DFT PBE
# VASP energy = -90.86 eV/cell
# N(E_F) = 21.26 states/eV per cell
# Energy of formation from the pure elements = -0.109 eV per atom
# Magnetic moment = 0.000 μB/atom
data_Sm4Tm3Tl5
_cell_length_a 11.8946
_cell_length_b 5.5339
_cell_length_c 11.1110
_cell_angle_alpha 90.00
_cell_angle_beta 91.72
_cell_angle_gamma 90.00
_space_group_name_H-M_alt 'C 1 2/m 1'
_space_group_IT_number 12
loop_
_space_group_symop_operation_xyz
'x,y,z'
'-x,-y,-z'
'-x,y,-z'
'x,-y,z'
'x+1/2,y+1/2,z'
'-x+1/2,-y+1/2,-z'
'-x+1/2,y+1/2,-z'
'x+1/2,-y+1/2,z'
loop_
_atom_site_label
_atom_site_fract_x
_atom_site_fract_y
_atom_site_fract_z
_atom_site_occupancy
Sm1 0.1429 0.0000 0.4475 1
Sm2 0.2324 0.0000 0.1279 1
Tm1 0.0000 0.5000 0.0000 1
Tm2 0.0809 0.0000 0.7539 1
Tl1 0.0000 0.0000 0.0000 1
Tl2 0.0779 0.5000 0.6185 1
Tl3 0.1559 0.5000 0.2616 1

---

Please write out number 12 again, unchanged.
# Sm4Tm3Tl5, relaxed, DFT PBE
# VASP energy = -90.86 eV/cell
# N(E_F) = 21.26 states/eV per cell
# Energy of formation from the pure elements = -0.109 eV per atom
# Magnetic moment = 0.000 μB/atom
data_Sm4Tm3Tl5
_cell_length_a 11.8946
_cell_length_b 5.5339
_cell_length_c 11.1110
_cell_angle_alpha 90.00
_cell_angle_beta 91.72
_cell_angle_gamma 90.00
_space_group_name_H-M_alt 'C 1 2/m 1'
_space_group_IT_number 12
loop_
_space_group_symop_operation_xyz
'x,y,z'
'-x,-y,-z'
'-x,y,-z'
'x,-y,z'
'x+1/2,y+1/2,z'
'-x+1/2,-y+1/2,-z'
'-x+1/2,y+1/2,-z'
'x+1/2,-y+1/2,z'
loop_
_atom_site_label
_atom_site_fract_x
_atom_site_fract_y
_atom_site_fract_z
_atom_site_occupancy
Sm1 0.1429 0.0000 0.4475 1
Sm2 0.2324 0.0000 0.1279 1
Tm1 0.0000 0.5000 0.0000 1
Tm2 0.0809 0.0000 0.7539 1
Tl1 0.0000 0.0000 0.0000 1
Tl2 0.0779 0.5000 0.6185 1
Tl3 0.1559 0.5000 0.2616 1